# LiPrN PBE optimized geometry
# Formation energy without anion corrections = -0.7233 eV per atom
# Total moment = 0.00 μB/cell
data_LiPrN
_chemical_formula_sum 'Li6 Pr6 N6'
_symmetry_space_group_name_H-M 'R -3 m'
_symmetry_Int_Tables_number 166
_symmetry_space_group_name_Hall '-R 3 2"'
_cell_length_a 3.7392
_cell_length_b 3.7392
_cell_length_c 26.7000
_cell_angle_alpha 90.00
_cell_angle_beta 90.00
_cell_angle_gamma 120.00
loop_
_atom_site_label
_atom_site_type_symbol
_atom_site_fract_x
_atom_site_fract_y
_atom_site_fract_z
Li1 Li 0.0000 0.0000 0.1468
Pr1 Pr 0.0000 0.0000 0.4012
N1 N 0.0000 0.0000 0.2234